a | Material: TlCoSe
Method: DFT, GGA-PBE
State: relaxed

Properties
Volume in Å³/atom: 21.9
Density of states at the Fermi level in states/eV per cell: 2.523
ρ in Mg/m³: 8.6

Cell and atoms, written as CIF:
```
data_TlCoSe
_chemical_formula_sum 'Tl1 Co1 Se1'
_symmetry_space_group_name_H-M 'P 1'
_symmetry_Int_Tables_number 1
_symmetry_space_group_name_Hall 'P 1'
_cell_length_a 7.1151
_cell_length_b 7.1150
_cell_length_c 3.1172
_cell_angle_alpha 77.35
_cell_angle_beta 77.34
_cell_angle_gamma 25.31
loop_
_atom_site_label
_atom_site_type_symbol
_atom_site_fract_x
_atom_site_fract_y
_atom_site_fract_z
_atom_site_occupancy
Co1 Co 0.0372 0.0372 0.9628 1
Se1 Se 0.6033 0.6033 0.3967 1
Tl1 Tl 0.3595 0.3595 0.6405 1
```

b | Material: TlCoSe
Method: DFT, GGA-PBE
State: relaxed

Properties
Volume in Å³/atom: 22.5
Density of states at the Fermi level in states/eV per cell: 4.784
ρ in Mg/m³: 8.4

Cell and atoms, written as CIF:
```
data_TlCoSe
_chemical_formula_sum 'Tl2 Co2 Se2'
_symmetry_space_group_name_H-M 'P 1'
_symmetry_Int_Tables_number 1
_symmetry_space_group_name_Hall 'P 1'
_cell_length_a 3.6030
_cell_length_b 3.6030
_cell_length_c 10.4148
_cell_angle_alpha 90.00
_cell_angle_beta 90.00
_cell_angle_gamma 90.00
loop_
_atom_site_label
_atom_site_type_symbol
_atom_site_fract_x
_atom_site_fract_y
_atom_site_fract_z
_atom_site_occupancy
Co1 Co 0.0000 0.0000 0.0000 1
Co2 Co 0.5000 0.5000 0.0000 1
Tl1 Tl 0.0000 0.5000 0.3834 1
Tl2 Tl 0.5000 0.0000 0.6166 1
Se1 Se 0.0000 0.5000 0.8589 1
Se2 Se 0.5000 0.0000 0.1411 1
```

c | Material: TlCoSe
Method: DFT, GGA-PBE
State: relaxed

Properties
Volume in Å³/atom: 23.5
Density of states at the Fermi level in states/eV per cell: 3.742
ρ in Mg/m³: 8.1

Cell and atoms, written as CIF:
```
data_TlCoSe
_chemical_formula_sum 'Tl1 Co1 Se1'
_symmetry_space_group_name_H-M 'P 1'
_symmetry_Int_Tables_number 1
_symmetry_space_group_name_Hall 'P 1'
_cell_length_a 3.9730
_cell_length_b 3.9730
_cell_length_c 5.1490
_cell_angle_alpha 90.00
_cell_angle_beta 90.00
_cell_angle_gamma 120.00
loop_
_atom_site_label
_atom_site_type_symbol
_atom_site_fract_x
_atom_site_fract_y
_atom_site_fract_z
_atom_site_occupancy
Co1 Co 0.0000 0.0000 0.1641 1
Se1 Se 0.3333 0.6667 0.1678 1
Tl1 Tl 0.6667 0.3333 0.6681 1
```

b has the most favorable energy; the next structure is 187 meV/atom above.

a | Material: TlCoSe
Method: DFT, GGA-PBE
State: relaxed

Properties
Volume in Å³/atom: 22.2
Density of states at the Fermi level in states/eV per cell: 2.853
ρ in Mg/m³: 8.5

Cell and atoms, written as CIF:
```
data_TlCoSe
_chemical_formula_sum 'Tl2 Co2 Se2'
_symmetry_space_group_name_H-M 'P 1'
_symmetry_Int_Tables_number 1
_symmetry_space_group_name_Hall 'P 1'
_cell_length_a 4.0162
_cell_length_b 4.0162
_cell_length_c 8.2648
_cell_angle_alpha 90.00
_cell_angle_beta 90.00
_cell_angle_gamma 90.00
loop_
_atom_site_label
_atom_site_type_symbol
_atom_site_fract_x
_atom_site_fract_y
_atom_site_fract_z
_atom_site_occupancy
Tl1 Tl 0.0000 0.5000 0.8364 1
Tl2 Tl 0.5000 0.0000 0.1636 1
Co1 Co 0.0000 0.0000 0.5000 1
Co2 Co 0.5000 0.5000 0.5000 1
Se1 Se 0.0000 0.5000 0.3438 1
Se2 Se 0.5000 0.0000 0.6562 1
```

b | Material: TlCoSe
Method: DFT, GGA-PBE
State: relaxed

Properties
Volume in Å³/atom: 20.7
Density of states at the Fermi level in states/eV per cell: 4.830
ρ in Mg/m³: 9.1

Cell and atoms, written as CIF:
```
data_TlCoSe
_chemical_formula_sum 'Tl1 Co1 Se1'
_symmetry_space_group_name_H-M 'P 1'
_symmetry_Int_Tables_number 1
_symmetry_space_group_name_Hall 'P 1'
_cell_length_a 4.4455
_cell_length_b 4.4455
_cell_length_c 4.4455
_cell_angle_alpha 60.00
_cell_angle_beta 60.00
_cell_angle_gamma 60.00
loop_
_atom_site_label
_atom_site_type_symbol
_atom_site_fract_x
_atom_site_fract_y
_atom_site_fract_z
_atom_site_occupancy
Co1 Co 0.7500 0.7500 0.7500 1
Se1 Se 0.0000 0.0000 0.0000 1
Tl1 Tl 0.5000 0.5000 0.5000 1
```

a has the most favorable energy; the next structure is 419 meV/atom above.

a | Material: VCoSe3
Method: DFT, GGA-PBE
State: relaxed

Properties
Volume in Å³/atom: 20.7
Density of states at the Fermi level in states/eV per cell: 4.999
ρ in Mg/m³: 5.6

Cell and atoms, written as CIF:
```
data_VCoSe3
_chemical_formula_sum 'V2 Co2 Se6'
_symmetry_space_group_name_H-M 'P 1'
_symmetry_Int_Tables_number 1
_symmetry_space_group_name_Hall 'P 1'
_cell_length_a 3.4213
_cell_length_b 6.2726
_cell_length_c 10.2358
_cell_angle_alpha 109.61
_cell_angle_beta 90.00
_cell_angle_gamma 90.00
loop_
_atom_site_label
_atom_site_type_symbol
_atom_site_fract_x
_atom_site_fract_y
_atom_site_fract_z
_atom_site_occupancy
V1 V 0.2500 0.2474 0.5525 1
V2 V 0.7500 0.7526 0.4475 1
Co1 Co 0.2500 0.1108 0.1510 1
Co2 Co 0.7500 0.8892 0.8490 1
Se1 Se 0.7500 0.0818 0.6707 1
Se2 Se 0.7500 0.5666 0.6387 1
Se3 Se 0.2500 0.9182 0.3293 1
Se4 Se 0.2500 0.4334 0.3613 1
Se5 Se 0.2500 0.7793 0.9607 1
Se6 Se 0.7500 0.2207 0.0393 1
```

b | Material: VCoSe3
Method: DFT, GGA-PBE
State: relaxed

Properties
Volume in Å³/atom: 20.1
Density of states at the Fermi level in states/eV per cell: 4.917
ρ in Mg/m³: 5.7

Cell and atoms, written as CIF:
```
data_VCoSe3
_chemical_formula_sum 'V1 Co1 Se3'
_symmetry_space_group_name_H-M 'P 1'
_symmetry_Int_Tables_number 1
_symmetry_space_group_name_Hall 'P 1'
_cell_length_a 4.6524
_cell_length_b 4.6524
_cell_length_c 4.6524
_cell_angle_alpha 90.00
_cell_angle_beta 90.00
_cell_angle_gamma 90.00
loop_
_atom_site_label
_atom_site_type_symbol
_atom_site_fract_x
_atom_site_fract_y
_atom_site_fract_z
_atom_site_occupancy
Co1 Co 0.0000 0.0000 0.0000 1
Se1 Se 0.0000 0.5000 0.0000 1
Se2 Se 0.0000 0.0000 0.5000 1
Se3 Se 0.5000 0.0000 0.0000 1
V1 V 0.5000 0.5000 0.5000 1
```

a has the most favorable energy; the next structure is 766 meV/atom above.

a | Material: VCoSe2
Method: DFT, GGA-PBE
State: relaxed

Properties
Volume in Å³/atom: 19.4
Density of states at the Fermi level in states/eV per cell: 12.782
ρ in Mg/m³: 5.7

Cell and atoms, written as CIF:
```
data_VCoSe2
_chemical_formula_sum 'V4 Co4 Se8'
_symmetry_space_group_name_H-M 'P 1'
_symmetry_Int_Tables_number 1
_symmetry_space_group_name_Hall 'P 1'
_cell_length_a 5.8943
_cell_length_b 7.4469
_cell_length_c 7.8943
_cell_angle_alpha 116.40
_cell_angle_beta 90.00
_cell_angle_gamma 90.00
loop_
_atom_site_label
_atom_site_type_symbol
_atom_site_fract_x
_atom_site_fract_y
_atom_site_fract_z
_atom_site_occupancy
V1 V 0.4746 0.1815 0.4757 1
V2 V 0.9746 0.3185 0.5243 1
V3 V 0.5254 0.8185 0.5243 1
V4 V 0.0254 0.6815 0.4757 1
Co1 Co 0.6482 0.4408 0.3878 1
Co2 Co 0.1482 0.0592 0.6122 1
Co3 Co 0.3518 0.5592 0.6122 1
Co4 Co 0.8518 0.9408 0.3878 1
Se1 Se 0.7421 0.1014 0.2072 1
Se2 Se 0.2421 0.3986 0.7928 1
Se3 Se 0.2579 0.8986 0.7928 1
Se4 Se 0.7579 0.6014 0.2072 1
Se5 Se 0.7585 0.6419 0.7021 1
Se6 Se 0.2585 0.8581 0.2979 1
Se7 Se 0.2415 0.3581 0.2979 1
Se8 Se 0.7415 0.1419 0.7021 1
```

b | Material: VCoSe2
Method: DFT, GGA-PBE
State: relaxed

Properties
Volume in Å³/atom: 17.7
Density of states at the Fermi level in states/eV per cell: 4.778
ρ in Mg/m³: 6.3

Cell and atoms, written as CIF:
```
data_VCoSe2
_chemical_formula_sum 'V1 Co1 Se2'
_symmetry_space_group_name_H-M 'P 1'
_symmetry_Int_Tables_number 1
_symmetry_space_group_name_Hall 'P 1'
_cell_length_a 8.0282
_cell_length_b 8.0282
_cell_length_c 8.0282
_cell_angle_alpha 23.26
_cell_angle_beta 23.26
_cell_angle_gamma 23.26
loop_
_atom_site_label
_atom_site_type_symbol
_atom_site_fract_x
_atom_site_fract_y
_atom_site_fract_z
_atom_site_occupancy
Co1 Co 0.0000 0.0000 0.0000 1
Se1 Se 0.9027 0.9027 0.9027 1
Se2 Se 0.0973 0.0973 0.0973 1
V1 V 0.5000 0.5000 0.5000 1
```

c | Material: VCoSe2
Method: DFT, GGA-PBE
State: relaxed

Properties
Volume in Å³/atom: 21.0
Density of states at the Fermi level in states/eV per cell: 8.678
ρ in Mg/m³: 5.3

Cell and atoms, written as CIF:
```
data_VCoSe2
_chemical_formula_sum 'V2 Co2 Se4'
_symmetry_space_group_name_H-M 'P 1'
_symmetry_Int_Tables_number 1
_symmetry_space_group_name_Hall 'P 1'
_cell_length_a 5.4726
_cell_length_b 5.4726
_cell_length_c 6.8082
_cell_angle_alpha 66.30
_cell_angle_beta 66.30
_cell_angle_gamma 90.00
loop_
_atom_site_label
_atom_site_type_symbol
_atom_site_fract_x
_atom_site_fract_y
_atom_site_fract_z
_atom_site_occupancy
Co1 Co 0.0000 0.0000 0.0000 1
Co2 Co 0.7500 0.2500 0.5000 1
Se1 Se 0.6421 0.1250 0.2500 1
Se2 Se 0.1079 0.6250 0.2500 1
Se3 Se 0.3750 0.3579 0.7500 1
Se4 Se 0.8750 0.8921 0.7500 1
V1 V 0.5000 0.5000 0.0000 1
V2 V 0.2500 0.7500 0.5000 1
```

a has the most favorable energy; the next structure is 357 meV/atom above.

a | Material: VCoSe2
Method: DFT, GGA-PBE
State: relaxed

Properties
Volume in Å³/atom: 22.6
Density of states at the Fermi level in states/eV per cell: 2.615
ρ in Mg/m³: 4.9

Cell and atoms, written as CIF:
```
data_VCoSe2
_chemical_formula_sum 'V1 Co1 Se2'
_symmetry_space_group_name_H-M 'P 1'
_symmetry_Int_Tables_number 1
_symmetry_space_group_name_Hall 'P 1'
_cell_length_a 7.4687
_cell_length_b 3.7380
_cell_length_c 3.7332
_cell_angle_alpha 90.00
_cell_angle_beta 89.99
_cell_angle_gamma 119.72
loop_
_atom_site_label
_atom_site_type_symbol
_atom_site_fract_x
_atom_site_fract_y
_atom_site_fract_z
_atom_site_occupancy
V1 V 0.3251 0.1668 0.5155 1
Co1 Co 0.3247 0.6664 0.0156 1
Se1 Se 0.5619 0.9013 0.5155 1
Se2 Se 0.0880 0.9319 0.0156 1
```

b | Material: VCoSe2
Method: DFT, GGA-PBE
State: relaxed

Properties
Volume in Å³/atom: 15.1
Density of states at the Fermi level in states/eV per cell: 3.670
ρ in Mg/m³: 7.4

Cell and atoms, written as CIF:
```
data_VCoSe2
_chemical_formula_sum 'V1 Co1 Se2'
_symmetry_space_group_name_H-M 'P 1'
_symmetry_Int_Tables_number 1
_symmetry_space_group_name_Hall 'P 1'
_cell_length_a 4.4004
_cell_length_b 4.4004
_cell_length_c 4.4004
_cell_angle_alpha 60.00
_cell_angle_beta 60.00
_cell_angle_gamma 60.00
loop_
_atom_site_label
_atom_site_type_symbol
_atom_site_fract_x
_atom_site_fract_y
_atom_site_fract_z
_atom_site_occupancy
Co1 Co 0.5000 0.5000 0.5000 1
Se1 Se 0.2500 0.2500 0.2500 1
Se2 Se 0.7500 0.7500 0.7500 1
V1 V 0.0000 0.0000 0.0000 1
```

a has the most favorable energy; the next structure is 526 meV/atom above.